A | {"formula": "Te6IrRu", "functional": "PBE", "state": "optimized geometry", "lattice": [[6.597, 0.000, 0.054], [3.284, 5.766, 0.142], [3.324, 2.015, 5.471]], "species": ["Te", "Ir", "Te", "Ru", "Te", "Te", "Te", "Te"], "fractional_positions": [[0.427, 0.769, 0.733], [0.500, 0.500, 0.500], [0.724, 0.056, 0.783], [0.000, 0.000, 0.000], [0.276, 0.944, 0.217], [0.951, 0.552, 0.274], [0.573, 0.231, 0.267], [0.049, 0.448, 0.726]], "sg": "P-1", "magnetic_moment_mub_per_atom": 0.000}

---

B | {"formula": "Te6IrRu", "functional": "PBE", "state": "optimized geometry", "lattice": [[-5.979, -0.199, 5.801], [-0.093, -7.151, -4.277], [7.452, 0.952, 3.702]], "species": ["Te", "Ru", "Te", "Te", "Te", "Te", "Te", "Te", "Te", "Ir", "Te", "Ir", "Te", "Te", "Ru", "Te"], "fractional_positions": [[0.153, 0.675, 0.828], [0.500, 0.500, 0.500], [0.324, 0.172, 0.844], [0.481, 0.156, 0.327], [0.828, 0.153, 0.673], [0.156, 0.326, 0.482], [0.328, 0.480, 0.156], [0.676, 0.828, 0.156], [0.844, 0.674, 0.518], [0.500, 0.000, 0.000], [0.172, 0.847, 0.327], [0.000, 0.500, 0.000], [0.519, 0.844, 0.673], [0.847, 0.325, 0.172], [0.000, 0.000, 0.500], [0.672, 0.520, 0.844]], "sg": "C2/m", "magnetic_moment_mub_per_atom": 0.000}

---

Which of them is the most stable? Correct choice: A.

---

A | {"formula": "Te3IrRu", "functional": "PBE", "state": "optimized geometry", "lattice": [[-3.661, -3.473, 1.016], [2.800, -1.803, 3.926], [-2.293, 3.345, 3.171]], "species": ["Te", "Ru", "Te", "Te", "Ir"], "fractional_positions": [[0.000, 0.500, 0.000], [0.500, 0.500, 0.500], [0.000, 0.000, 0.500], [0.500, 0.000, 0.000], [0.000, 0.000, 0.000]], "sg": "Pm-3m", "magnetic_moment_mub_per_atom": 0.000}

---

B | {"formula": "Te3IrRu", "functional": "PBE", "state": "optimized geometry", "lattice": [[5.058, 0.000, 0.000], [0.000, 5.058, 0.000], [0.000, 0.000, 5.058]], "species": ["Te", "Ru", "Te", "Ir", "Te"], "fractional_positions": [[0.500, 0.000, 0.000], [0.000, 0.000, 0.000], [0.000, 0.000, 0.500], [0.500, 0.500, 0.500], [0.000, 0.500, 0.000]], "sg": "Pm-3m", "magnetic_moment_mub_per_atom": 0.000}

---

Which of them is the most stable? Correct choice: B.

---

A | {"formula": "ThIrRu", "functional": "PBE", "state": "optimized geometry", "lattice": [[5.468, -0.041, 0.156], [-2.703, 4.753, -0.156], [2.773, 1.540, 4.457]], "species": ["Ir", "Th", "Ru", "Ru", "Th", "Ir"], "fractional_positions": [[0.000, 0.500, 0.000], [0.750, 0.874, 0.376], [0.000, 0.500, 0.500], [0.500, 0.500, 0.000], [0.250, 0.126, 0.624], [0.500, 0.000, 0.000]], "sg": "Imma", "magnetic_moment_mub_per_atom": 0.000}

---

B | {"formula": "ThIrRu", "functional": "PBE", "state": "optimized geometry", "lattice": [[-2.846, -1.613, -2.298], [2.999, -2.325, -2.082], [-1.929, -1.614, 3.522]], "species": ["Ru", "Ir", "Th"], "fractional_positions": [[0.167, 0.000, 0.000], [0.167, 0.333, 0.667], [0.667, 0.667, 0.333]], "sg": "P-6m2", "magnetic_moment_mub_per_atom": 0.000}

---

Which of them is the most stable? Correct choice: A.

---

A | {"formula": "TiIrRu3", "functional": "PBE", "state": "optimized geometry", "lattice": [[-2.774, -3.172, 1.292], [2.113, -2.894, -2.567], [2.696, -0.996, 3.342]], "species": ["Ru", "Ir", "Ti", "Ru", "Ru"], "fractional_positions": [[0.000, 0.500, 0.000], [0.500, 0.500, 0.500], [0.000, 0.000, 0.000], [0.000, 0.000, 0.500], [0.500, 0.000, 0.000]], "sg": "Pm-3m", "magnetic_moment_mub_per_atom": 0.000}

---

B | {"formula": "TiIrRu3", "functional": "PBE", "state": "optimized geometry", "lattice": [[4.650, 0.000, 0.000], [0.000, 4.650, 0.000], [0.000, 0.000, 4.650]], "species": ["Ti", "Ir", "Ru", "Ru", "Ru"], "fractional_positions": [[0.500, 0.500, 0.500], [0.000, 0.000, 0.000], [0.000, 0.500, 0.000], [0.000, 0.000, 0.500], [0.500, 0.000, 0.000]], "sg": "Pm-3m", "magnetic_moment_mub_per_atom": 0.000}

---

Which of them is the most stable? Correct choice: A.

---

A | {"formula": "TiIrRu", "functional": "PBE", "state": "optimized geometry", "lattice": [[-0.136, 3.940, -1.793], [2.566, -1.888, -4.345], [-3.228, -2.805, -0.687]], "species": ["Ru", "Ir", "Ir", "Ti", "Ti", "Ru"], "fractional_positions": [[0.667, 0.250, 0.833], [0.000, 0.500, 0.500], [0.000, 0.000, 0.500], [0.333, 0.250, 0.167], [0.667, 0.750, 0.833], [0.333, 0.750, 0.167]], "sg": "P6_3/mmc", "magnetic_moment_mub_per_atom": 0.000}

---

B | {"formula": "TiIrRu", "functional": "PBE", "state": "optimized geometry", "lattice": [[-2.385, 2.783, 2.221], [-4.873, 0.382, -1.577], [-1.150, -1.498, 4.776]], "species": ["Ti", "Ti", "Ir", "Ru", "Ir", "Ru"], "fractional_positions": [[0.000, 0.825, 0.175], [0.000, 0.175, 0.825], [0.751, 0.749, 0.749], [0.500, 0.665, 0.335], [0.249, 0.251, 0.251], [0.500, 0.335, 0.665]], "sg": "Immm", "magnetic_moment_mub_per_atom": 0.000}

---

Which of them is the most stable? Correct choice: A.

---

A | {"formula": "TlIrRu", "functional": "PBE", "state": "optimized geometry", "lattice": [[6.386, 0.001, -0.001], [5.716, 2.848, 0.003], [0.670, 0.153, 2.843]], "species": ["Ir", "Ru", "Tl"], "fractional_positions": [[0.019, 0.019, 0.981], [0.650, 0.650, 0.350], [0.331, 0.331, 0.669]], "sg": "I4mm", "magnetic_moment_mub_per_atom": 0.000}

---

B | {"formula": "TlIrRu", "functional": "PBE", "state": "optimized geometry", "lattice": [[-1.509, 2.440, 0.644], [-1.397, -2.579, -0.216], [1.040, -1.124, 6.696]], "species": ["Ru", "Ir", "Tl"], "fractional_positions": [[0.667, 0.333, 0.313], [0.000, 0.000, 0.023], [0.333, 0.667, 0.664]], "sg": "P3m1", "magnetic_moment_mub_per_atom": 0.000}

---

C | {"formula": "TlIrRu", "functional": "PBE", "state": "optimized geometry", "lattice": [[-1.304, -2.779, -3.102], [-2.992, -3.043, 0.914], [-4.020, 0.322, -1.669]], "species": ["Ru", "Ir", "Tl"], "fractional_positions": [[0.750, 0.750, 0.750], [0.500, 0.500, 0.500], [0.000, 0.000, 0.000]], "sg": "F-43m", "magnetic_moment_mub_per_atom": 0.000}

---

Which of them is the most stable? Correct choice: A.

---

A | {"formula": "TlIr2Ru", "functional": "PBE", "state": "optimized geometry", "lattice": [[-1.704, -0.298, 2.249], [0.274, -3.785, -0.294], [4.844, 0.065, 3.678]], "species": ["Ru", "Ir", "Tl", "Ir"], "fractional_positions": [[0.000, 0.000, 0.464], [0.000, 0.000, 0.028], [0.500, 0.500, 0.749], [0.500, 0.500, 0.258]], "sg": "Pmm2", "magnetic_moment_mub_per_atom": 0.000}

---

B | {"formula": "TlIr2Ru", "functional": "PBE", "state": "optimized geometry", "lattice": [[-1.411, -0.943, 2.303], [2.202, -1.706, 0.650], [3.219, 5.815, 4.354]], "species": ["Ru", "Ir", "Tl", "Ir"], "fractional_positions": [[0.000, 0.000, 0.475], [0.000, 0.000, 0.023], [0.500, 0.500, 0.747], [0.500, 0.500, 0.256]], "sg": "P4mm", "magnetic_moment_mub_per_atom": 0.000}

---

C | {"formula": "TlIr2Ru", "functional": "PBE", "state": "optimized geometry", "lattice": [[4.873, 0.006, -0.002], [-1.612, 4.598, -0.002], [0.001, 0.002, 2.881]], "species": ["Ir", "Ru", "Ir", "Tl"], "fractional_positions": [[0.000, 0.000, 0.000], [0.500, 0.000, 0.500], [0.500, 0.500, 0.000], [0.000, 0.500, 0.500]], "sg": "Cmmm", "magnetic_moment_mub_per_atom": 0.022}

---

Which of them is the most stable? Correct choice: B.

---

A | {"formula": "TlIr2Ru", "functional": "PBE", "state": "optimized geometry", "lattice": [[-0.276, 2.803, -0.456], [-0.946, -0.687, -3.655], [-5.763, -0.315, 1.551]], "species": ["Ir", "Ir", "Ru", "Tl"], "fractional_positions": [[0.000, 0.000, 0.030], [0.000, 0.000, 0.470], [0.500, 0.500, 0.250], [0.500, 0.500, 0.750]], "sg": "Pmmm", "magnetic_moment_mub_per_atom": 0.000}

---

B | {"formula": "TlIr2Ru", "functional": "PBE", "state": "optimized geometry", "lattice": [[-0.769, 1.289, 4.618], [4.062, -0.925, 2.494], [-0.693, 2.453, -4.133]], "species": ["Ru", "Tl", "Ir", "Ir"], "fractional_positions": [[0.500, 0.500, 0.000], [0.750, 0.250, 0.500], [0.250, 0.750, 0.500], [0.000, 0.000, 0.000]], "sg": "I-4m2", "magnetic_moment_mub_per_atom": 0.000}

---

Which of them is the most stable? Correct choice: A.

---

A | {"formula": "TlIrRu2", "functional": "PBE", "state": "optimized geometry", "lattice": [[4.921, -0.007, 0.000], [1.732, 4.607, 0.000], [-3.327, -2.300, 2.805]], "species": ["Tl", "Ru", "Ir", "Ru"], "fractional_positions": [[0.500, 0.500, 0.000], [0.000, 0.000, 0.000], [0.750, 0.250, 0.500], [0.250, 0.750, 0.500]], "sg": "I-4m2", "magnetic_moment_mub_per_atom": 0.000}

---

B | {"formula": "TlIrRu2", "functional": "PBE", "state": "optimized geometry", "lattice": [[-4.015, 0.087, -2.765], [-0.318, -3.697, 3.164], [-1.261, 1.722, 1.885]], "species": ["Ru", "Tl", "Ir", "Ru"], "fractional_positions": [[0.500, 0.500, 0.000], [0.500, 0.000, 0.500], [0.000, 0.500, 0.500], [0.000, 0.000, 0.000]], "sg": "Cmmm", "magnetic_moment_mub_per_atom": 0.001}

---

C | {"formula": "TlIrRu2", "functional": "PBE", "state": "optimized geometry", "lattice": [[9.233, -0.023, -0.014], [8.792, 2.819, -0.014], [8.792, 1.364, 2.468]], "species": ["Ru", "Ru", "Ir", "Tl"], "fractional_positions": [[0.999, 0.999, 0.999], [0.257, 0.257, 0.257], [0.744, 0.744, 0.744], [0.501, 0.501, 0.501]], "sg": "R3m", "magnetic_moment_mub_per_atom": 0.000}

---

Which of them is the most stable? Correct choice: A.

---

A | {"formula": "TlIrRu2", "functional": "PBE", "state": "optimized geometry", "lattice": [[2.858, 0.000, 0.000], [0.000, 2.858, 0.000], [0.000, 0.000, 7.868]], "species": ["Ru", "Ru", "Tl", "Ir"], "fractional_positions": [[0.000, 0.000, 0.976], [0.000, 0.000, 0.524], [0.500, 0.500, 0.250], [0.500, 0.500, 0.750]], "sg": "P4/mmm", "magnetic_moment_mub_per_atom": 0.000}

---

B | {"formula": "TlIrRu2", "functional": "PBE", "state": "optimized geometry", "lattice": [[-3.163, -2.887, -1.465], [-0.091, -1.240, -4.352], [1.154, -4.215, -1.177]], "species": ["Ir", "Ru", "Ru", "Tl"], "fractional_positions": [[0.500, 0.500, 0.500], [0.250, 0.250, 0.250], [0.000, 0.000, 0.000], [0.750, 0.750, 0.750]], "sg": "F-43m", "magnetic_moment_mub_per_atom": 0.678}

---

Which of them is the most stable? Correct choice: A.

---

A | {"formula": "TlIrRu2", "functional": "PBE", "state": "optimized geometry", "lattice": [[-3.809, -2.065, -1.767], [-0.904, -0.598, 2.647], [-2.459, 4.310, 0.261]], "species": ["Ir", "Ru", "Ru", "Tl"], "fractional_positions": [[0.500, 0.750, 0.750], [0.000, 0.013, 0.967], [0.000, 0.487, 0.533], [0.500, 0.250, 0.250]], "sg": "P2/m", "magnetic_moment_mub_per_atom": 0.001}

---

B | {"formula": "TlIrRu2", "functional": "PBE", "state": "optimized geometry", "lattice": [[4.857, -0.001, 0.008], [4.013, 2.736, 0.008], [0.791, 0.244, 4.842]], "species": ["Ir", "Ru", "Ru", "Tl"], "fractional_positions": [[0.740, 0.740, 0.776], [0.261, 0.261, 0.220], [0.998, 0.998, 0.004], [0.501, 0.501, 0.499]], "sg": "Cm", "magnetic_moment_mub_per_atom": 0.000}

---

C | {"formula": "TlIrRu2", "functional": "PBE", "state": "optimized geometry", "lattice": [[3.940, 0.000, 0.000], [0.000, 4.032, 0.000], [0.000, 0.000, 4.032]], "species": ["Ir", "Ru", "Ru", "Tl"], "fractional_positions": [[0.500, 0.000, 0.500], [0.000, 0.000, 0.000], [0.000, 0.500, 0.500], [0.500, 0.500, 0.000]], "sg": "P4/mmm", "magnetic_moment_mub_per_atom": 0.002}

---

Which of them is the most stable? Correct choice: B.